Rb2WBr2F4: optimized geometry, GGA+U.

The calculation puts the raw total energy at -4.527 eV/atom.

It has space group I4/mmm (No. 139), with a = 7.0661 Å, b = 7.0661 Å, c = 9.3754 Å, α = 90.00°, β = 90.00° and γ = 90.00°. Symmetry generates all atoms from Rb at (0.0000, 0.5000, 0.2500), W at (0.0000, 0.0000, 0.0000), Br at (0.0000, 0.0000, 0.2802) and F at (0.1997, 0.1997, 0.0000).